The following is a DFT calculation (PBE-GGA) of a relaxed Ce3AlPd12 crystal.

The calculation puts the total energy at -96.18 eV per cell. The density is 10.41 g/cm3. The calculation puts the formation energy from the elements at -0.770 eV/atom.

It has space group P4/mmm (No. 123), with a = 4.120 Å, b = 4.120 Å, c = 16.206 Å, α = 90.00°, β = 90.00° and γ = 90.00°. The distinct sites, in fractional coordinates, are Ce at (0.000, 0.000, 0.000), Ce at (0.000, 0.000, 0.260), Al at (0.000, 0.000, 0.500), Pd at (0.000, 0.500, 0.129), Pd at (0.000, 0.500, 0.387), Pd at (0.500, 0.500, 0.000), Pd at (0.500, 0.500, 0.258) and Pd at (0.500, 0.500, 0.500).